{"formula": "BaSc2Ni2", "functional": "GGA-PBE", "state": "optimized geometry", "lattice": [[8.140, 0.000, 0.000], [0.000, 8.140, 0.000], [0.000, 0.000, 3.138]], "species": ["Ba", "Ba", "Sc", "Sc", "Sc", "Sc", "Ni", "Ni", "Ni", "Ni"], "fractional_positions": [[0.000, 0.000, 0.000], [0.500, 0.500, 0.000], [0.130, 0.370, 0.000], [0.370, 0.870, 0.000], [0.630, 0.130, 0.000], [0.870, 0.630, 0.000], [0.144, 0.644, 0.500], [0.356, 0.144, 0.500], [0.644, 0.856, 0.500], [0.856, 0.356, 0.500]], "spacegroup": "P4/mbm", "dos_ef_per_ev_cell": 11.60, "delta_e_f_ev_per_atom": -0.0258}